No. 1
Material: TeO
Method: DFT, PBE
State: optimized geometry

Calculated values
energy above the most stable polymorph in this dataset = 0.03 eV/f.u.
density of states at the Fermi level = 0.01 states/eV per cell
ΔE_f (raw) = -0.53 eV/atom
total DFT energy (no corrections) = -18.30 eV/cell

Cell lengths 4.5948, 4.1690, 4.7271 Å; angles 90.00, 112.11, 90.00 degrees
Last column: nearest neighbours and their distance in Å.
Atoms (fractional coordinates):
Te 0.1586 0.0000 0.3633  2 O 1.99-2.08
Te 0.8414 0.5000 0.6367  2 O 1.99-2.08
O 0.4911 0.2297 0.7018  2 Te 1.99-2.08
O 0.5089 0.7297 0.2982  2 Te 1.99-2.08

=====

No. 2
Material: PuCuTcO6
Method: DFT, PBE
State: optimized geometry

Calculated values
density of states at the Fermi level = 11.82 states/eV per cell
ΔE_f (raw) = -1.65 eV/atom
total DFT energy (no corrections) = -146.83 eV/cell

Cell lengths 5.3122, 5.3122, 8.9426 Å; angles 90.00, 90.00, 120.00 degrees
Last column: nearest neighbours and their distance in Å.
Atoms (fractional coordinates):
Pu 0.3333 0.6667 0.2500  6 O 2.12
Pu 0.6667 0.3333 0.7500  6 O 2.12
Cu 0.0000 0.0000 0.0000  6 O 2.18
Cu 0.0000 0.0000 0.5000  6 O 2.18
Tc 0.3333 0.6667 0.7500  6 O 1.97
Tc 0.6667 0.3333 0.2500  6 O 1.97
O 0.0223 0.3572 0.6297  1 Tc 1.97, 1 Pu 2.12, 1 Cu 2.18
O 0.0223 0.6651 0.8703  1 Tc 1.97, 1 Pu 2.12, 1 Cu 2.18
O 0.3349 0.3572 0.8703  1 Tc 1.97, 1 Pu 2.12, 1 Cu 2.18
O 0.3349 0.9777 0.6297  1 Tc 1.97, 1 Pu 2.12, 1 Cu 2.18
O 0.3572 0.0223 0.1297  1 Tc 1.97, 1 Pu 2.12, 1 Cu 2.18
O 0.3572 0.3349 0.3703  1 Tc 1.97, 1 Pu 2.12, 1 Cu 2.18
O 0.6428 0.6651 0.6297  1 Tc 1.97, 1 Pu 2.12, 1 Cu 2.18
O 0.6428 0.9777 0.8703  1 Tc 1.97, 1 Pu 2.12, 1 Cu 2.18
O 0.6651 0.0223 0.3703  1 Tc 1.97, 1 Pu 2.12, 1 Cu 2.18
O 0.6651 0.6428 0.1297  1 Tc 1.97, 1 Pu 2.12, 1 Cu 2.18
O 0.9777 0.3349 0.1297  1 Tc 1.97, 1 Pu 2.12, 1 Cu 2.18
O 0.9777 0.6428 0.3703  1 Tc 1.97, 1 Pu 2.12, 1 Cu 2.18

=====

No. 3
Material: NbZnCu2
Method: DFT, PBE
State: optimized geometry

Calculated values
ΔE_f = 490.4 meV per atom
density of states at the Fermi level = 9.18 states/eV per cell
total DFT energy (no corrections) = -35.15 eV/cell

Cell lengths 5.5236, 5.5236, 5.5236 Å; angles 103.02, 103.02, 123.33 degrees
Last column: nearest neighbours and their distance in Å.
Atoms (fractional coordinates):
Nb 0.0000 0.0000 0.0000  2 Zn 2.62, 4 Cu 2.62
Nb 0.7500 0.2500 0.5000  2 Zn 2.62, 4 Cu 2.62
Zn 0.2500 0.7500 0.5000  4 Cu 2.42, 2 Nb 2.62
Zn 0.5000 0.5000 0.0000  4 Cu 2.42, 2 Nb 2.62
Cu 0.1468 0.6250 0.0218  2 Zn 2.42, 2 Nb 2.62, 2 Cu 2.64
Cu 0.3750 0.3968 0.5218  2 Zn 2.42, 2 Nb 2.62, 2 Cu 2.64
Cu 0.6032 0.1250 0.9782  2 Zn 2.42, 2 Nb 2.62, 2 Cu 2.64
Cu 0.8750 0.8532 0.4782  2 Zn 2.42, 2 Nb 2.62, 2 Cu 2.64

=====

No. 4
Material: Tl2SiHgB
Method: DFT, PBE
State: optimized geometry

Calculated values
density of states at the Fermi level = 2.64 states/eV per cell
ΔE_f (raw) = 0.54 eV/atom
total DFT energy (no corrections) = -14.43 eV/cell

Cell lengths 6.0117, 6.0117, 3.6616 Å; angles 90.00, 90.00, 90.00 degrees
Last column: nearest neighbours and their distance in Å.
Atoms (fractional coordinates):
Tl 0.0000 0.5000 0.0000  2 Si 3.01
Tl 0.5000 0.0000 0.0000  2 Si 3.01
Si 0.0000 0.0000 0.0000  2 B 1.83
Hg 0.5000 0.5000 0.5000  8 Tl 3.52, 2 Hg 3.66
B 0.0000 0.0000 0.5000  2 Si 1.83

=====

No. 5
Material: Sc6TlCd
Method: DFT, PBE
State: optimized geometry

Calculated values
energy above the most stable polymorph in this dataset = 0.00 eV/f.u.
ΔE_f = -165.2 meV per atom
density of states at the Fermi level = 10.72 states/eV per cell
total DFT energy (no corrections) = -42.59 eV/cell

Cell lengths 4.5183, 4.5183, 9.0457 Å; angles 90.00, 90.00, 90.00 degrees
Last column: nearest neighbours and their distance in Å.
Atoms (fractional coordinates):
Sc 0.0000 0.0000 0.0000  8 Sc 3.19, 4 Cd 3.19
Sc 0.0000 0.0000 0.5000  4 Tl 3.19, 8 Sc 3.21
Sc 0.0000 0.5000 0.2483  2 Cd 3.19, 8 Sc 3.19-3.21, 2 Tl 3.21
Sc 0.0000 0.5000 0.7517  2 Cd 3.19, 8 Sc 3.19-3.21, 2 Tl 3.21
Sc 0.5000 0.0000 0.2483  2 Cd 3.19, 8 Sc 3.19-3.21, 2 Tl 3.21
Sc 0.5000 0.0000 0.7517  2 Cd 3.19, 8 Sc 3.19-3.21, 2 Tl 3.21
Tl 0.5000 0.5000 0.5000  12 Sc 3.19-3.21
Cd 0.5000 0.5000 0.0000  12 Sc 3.19

=====

No. 6
Material: MnHg2Se
Method: DFT, PBE
State: optimized geometry

Calculated values
density of states at the Fermi level = 2.28 states/eV per cell
ΔE_f (raw) = 0.31 eV/atom
total DFT energy (no corrections) = -12.00 eV/cell

Cell lengths 2.9411, 3.6755, 8.0533 Å; angles 90.00, 90.00, 90.00 degrees
Last column: nearest neighbours and their distance in Å.
Atoms (fractional coordinates):
Mn 0.0000 0.0000 0.0000  2 Mn 2.94, 8 Hg 2.98
Hg 0.5000 0.5000 0.2261  2 Hg 2.94, 4 Mn 2.98, 4 Se 3.23
Hg 0.5000 0.5000 0.7739  2 Hg 2.94, 4 Mn 2.98, 4 Se 3.23
Se 0.0000 0.0000 0.5000  2 Se 2.94, 8 Hg 3.23

=====

No. 7
Material: Be3NbB
Method: DFT, PBE
State: optimized geometry

Calculated values
energy above the most stable polymorph in this dataset = 0.00 eV/f.u.
ΔE_f = -354.1 meV per atom
density of states at the Fermi level = 0.95 states/eV per cell
total DFT energy (no corrections) = -59.39 eV/cell

Cell lengths 9.0265, 9.0265, 9.0265 Å; angles 159.34, 158.92, 29.68 degrees
Last column: nearest neighbours and their distance in Å.
Atoms (fractional coordinates):
Be 0.0468 0.7968 0.2500  2 B 2.00
Be 0.2800 0.0300 0.2500  1 B 1.89, 2 Be 1.95
Be 0.4537 0.7037 0.7500  2 B 1.98
Be 0.5463 0.2963 0.2500  2 B 1.98
Be 0.7200 0.9700 0.7500  1 B 1.89, 2 Be 1.95
Be 0.9532 0.2032 0.7500  2 B 2.00
Nb 0.1639 0.4139 0.7500  4 B 2.48, 10 Be 2.51-2.63
Nb 0.8361 0.5861 0.2500  4 B 2.48, 10 Be 2.51-2.63
B 0.3882 0.1382 0.2500  5 Be 1.89-2.00
B 0.6118 0.8618 0.7500  5 Be 1.89-2.00

=====

No. 8
Material: BaIrPd3
Method: DFT, PBE
State: optimized geometry

Calculated values
energy above the most stable polymorph in this dataset = 7.84 eV/f.u.
ΔE_f = 1836.5 meV per atom
density of states at the Fermi level = 6.80 states/eV per cell
total DFT energy (no corrections) = -17.18 eV/cell

Cell lengths 5.2433, 5.2433, 5.2433 Å; angles 90.00, 90.00, 90.00 degrees
Last column: nearest neighbours and their distance in Å.
Atoms (fractional coordinates):
Ba 0.0000 0.0000 0.0000  6 Pd 2.62
Ir 0.5000 0.5000 0.5000  12 Pd 3.71
Pd 0.0000 0.0000 0.5000  2 Ba 2.62
Pd 0.0000 0.5000 0.0000  2 Ba 2.62
Pd 0.5000 0.0000 0.0000  2 Ba 2.62

=====

No. 9
Material: BeCdCl2
Method: DFT, PBE
State: optimized geometry

Calculated values
energy above the most stable polymorph in this dataset = 0.00 eV/f.u.
density of states at the Fermi level = 0.65 states/eV per cell
ΔE_f (raw) = -0.91 eV/atom
total DFT energy (no corrections) = -11.96 eV/cell

Cell lengths 3.2840, 3.2861, 10.0395 Å; angles 90.00, 98.92, 90.00 degrees
Last column: nearest neighbours and their distance in Å.
Atoms (fractional coordinates):
Be 0.0000 0.0000 0.0000  4 Cl 2.04
Cd 0.7804 0.5000 0.5092  4 Cd 3.28-3.29
Cl 0.0576 0.5000 0.1227  2 Be 2.04
Cl 0.4416 0.0000 0.8775  2 Be 2.04

=====

No. 10
Material: YTh4As6
Method: DFT, PBE
State: optimized geometry

Calculated values
ΔE_f = -1221.9 meV per atom
density of states at the Fermi level = 9.17 states/eV per cell
total DFT energy (no corrections) = -154.96 eV/cell

Cell lengths 8.2865, 8.2865, 8.2865 Å; angles 89.73, 89.73, 89.73 degrees
Last column: nearest neighbours and their distance in Å.
Atoms (fractional coordinates):
Y 0.0000 0.0000 0.0000  6 As 2.81
Y 0.5000 0.5000 0.5000  6 As 2.81
Th 0.1340 0.7500 0.3660  8 As 2.99-3.22
Th 0.2500 0.2500 0.2500  6 As 3.01
Th 0.2500 0.6340 0.8660  8 As 2.99-3.22
Th 0.3660 0.1340 0.7500  8 As 2.99-3.22
Th 0.6340 0.8660 0.2500  8 As 2.99-3.22
Th 0.7500 0.3660 0.1340  8 As 2.99-3.22
Th 0.7500 0.7500 0.7500  6 As 3.01
Th 0.8660 0.2500 0.6340  8 As 2.99-3.22
As 0.0638 0.9166 0.6776  1 Y 2.81, 2 Th 2.99-3.01
As 0.0834 0.3224 0.9362  1 Y 2.81, 2 Th 2.99-3.01
As 0.1776 0.4166 0.5638  1 Y 2.81, 2 Th 2.99-3.01
As 0.3224 0.9362 0.0834  1 Y 2.81, 2 Th 2.99-3.01
As 0.4166 0.5638 0.1776  1 Y 2.81, 2 Th 2.99-3.01
As 0.4362 0.8224 0.5834  1 Y 2.81, 2 Th 2.99-3.01
As 0.5638 0.1776 0.4166  1 Y 2.81, 2 Th 2.99-3.01
As 0.5834 0.4362 0.8224  1 Y 2.81, 2 Th 2.99-3.01
As 0.6776 0.0638 0.9166  1 Y 2.81, 2 Th 2.99-3.01
As 0.8224 0.5834 0.4362  1 Y 2.81, 2 Th 2.99-3.01
As 0.9166 0.6776 0.0638  1 Y 2.81, 2 Th 2.99-3.01
As 0.9362 0.0834 0.3224  1 Y 2.81, 2 Th 2.99-3.01

=====

No. 11
Material: Dy2AlGe2
Method: DFT, PBE
State: optimized geometry

Calculated values
ΔE_f = -725.5 meV per atom
density of states at the Fermi level = 4.61 states/eV per cell
total DFT energy (no corrections) = -51.62 eV/cell

Cell lengths 6.9972, 6.9972, 4.3451 Å; angles 90.00, 90.00, 90.00 degrees
Last column: nearest neighbours and their distance in Å.
Atoms (fractional coordinates):
Dy 0.1765 0.3235 0.0000  6 Ge 2.90-3.07
Dy 0.3235 0.8235 0.0000  6 Ge 2.90-3.07
Dy 0.6765 0.1765 0.0000  6 Ge 2.90-3.07
Dy 0.8235 0.6765 0.0000  6 Ge 2.90-3.07
Al 0.0000 0.0000 0.5000  4 Ge 2.75
Al 0.5000 0.5000 0.5000  4 Ge 2.75
Ge 0.1294 0.6294 0.5000  1 Ge 2.56, 2 Al 2.75
Ge 0.3706 0.1294 0.5000  1 Ge 2.56, 2 Al 2.75
Ge 0.6294 0.8706 0.5000  1 Ge 2.56, 2 Al 2.75
Ge 0.8706 0.3706 0.5000  1 Ge 2.56, 2 Al 2.75

=====

Repeat the third record exactly.
Material: NbZnCu2
Method: DFT, PBE
State: optimized geometry

Calculated values
ΔE_f = 490.4 meV per atom
density of states at the Fermi level = 9.18 states/eV per cell
total DFT energy (no corrections) = -35.15 eV/cell

Cell lengths 5.5236, 5.5236, 5.5236 Å; angles 103.02, 103.02, 123.33 degrees
Last column: nearest neighbours and their distance in Å.
Atoms (fractional coordinates):
Nb 0.0000 0.0000 0.0000  2 Zn 2.62, 4 Cu 2.62
Nb 0.7500 0.2500 0.5000  2 Zn 2.62, 4 Cu 2.62
Zn 0.2500 0.7500 0.5000  4 Cu 2.42, 2 Nb 2.62
Zn 0.5000 0.5000 0.0000  4 Cu 2.42, 2 Nb 2.62
Cu 0.1468 0.6250 0.0218  2 Zn 2.42, 2 Nb 2.62, 2 Cu 2.64
Cu 0.3750 0.3968 0.5218  2 Zn 2.42, 2 Nb 2.62, 2 Cu 2.64
Cu 0.6032 0.1250 0.9782  2 Zn 2.42, 2 Nb 2.62, 2 Cu 2.64
Cu 0.8750 0.8532 0.4782  2 Zn 2.42, 2 Nb 2.62, 2 Cu 2.64

=====

Among the records above, which one has the lowest total DFT energy (no corrections)?
YTh4As6

=====

Copy entry 10 word for word.
Material: YTh4As6
Method: DFT, PBE
State: optimized geometry

Calculated values
ΔE_f = -1221.9 meV per atom
density of states at the Fermi level = 9.17 states/eV per cell
total DFT energy (no corrections) = -154.96 eV/cell

Cell lengths 8.2865, 8.2865, 8.2865 Å; angles 89.73, 89.73, 89.73 degrees
Last column: nearest neighbours and their distance in Å.
Atoms (fractional coordinates):
Y 0.0000 0.0000 0.0000  6 As 2.81
Y 0.5000 0.5000 0.5000  6 As 2.81
Th 0.1340 0.7500 0.3660  8 As 2.99-3.22
Th 0.2500 0.2500 0.2500  6 As 3.01
Th 0.2500 0.6340 0.8660  8 As 2.99-3.22
Th 0.3660 0.1340 0.7500  8 As 2.99-3.22
Th 0.6340 0.8660 0.2500  8 As 2.99-3.22
Th 0.7500 0.3660 0.1340  8 As 2.99-3.22
Th 0.7500 0.7500 0.7500  6 As 3.01
Th 0.8660 0.2500 0.6340  8 As 2.99-3.22
As 0.0638 0.9166 0.6776  1 Y 2.81, 2 Th 2.99-3.01
As 0.0834 0.3224 0.9362  1 Y 2.81, 2 Th 2.99-3.01
As 0.1776 0.4166 0.5638  1 Y 2.81, 2 Th 2.99-3.01
As 0.3224 0.9362 0.0834  1 Y 2.81, 2 Th 2.99-3.01
As 0.4166 0.5638 0.1776  1 Y 2.81, 2 Th 2.99-3.01
As 0.4362 0.8224 0.5834  1 Y 2.81, 2 Th 2.99-3.01
As 0.5638 0.1776 0.4166  1 Y 2.81, 2 Th 2.99-3.01
As 0.5834 0.4362 0.8224  1 Y 2.81, 2 Th 2.99-3.01
As 0.6776 0.0638 0.9166  1 Y 2.81, 2 Th 2.99-3.01
As 0.8224 0.5834 0.4362  1 Y 2.81, 2 Th 2.99-3.01
As 0.9166 0.6776 0.0638  1 Y 2.81, 2 Th 2.99-3.01
As 0.9362 0.0834 0.3224  1 Y 2.81, 2 Th 2.99-3.01